Here is HoThRh2 after structural relaxation from the Alexandria database. Energies are from GGA-PBE.

Cell and atoms, written as POSCAR:
```
HoThRh2
1.0
3.609 0.000 -1.316
0.000 4.255 0.000
0.037 0.000 5.720
Ho Th Rh
1 1 2
Cartesian
2.635 0.000 4.653 Ho
1.611 2.127 1.840 Th
0.672 2.127 4.876 Rh
3.598 0.000 1.681 Rh
```

SG ... Amm2
Energy of formation from the pure elements ... -0.928 eV per atom
Calculated volume ... 88.0 Å³/cell
Excess energy over the best structure of this formula in the dataset ... 0 meV per atom